Density functional theory data (GGA-PBE) for crystalline NdNi5Au at its relaxed geometry.

Cell lengths 8.083, 4.914, 10.268 Å; angles 90.00, 90.00, 90.00 degrees
Atoms (fractional coordinates):
Nd: 0.241 0.250 0.060
Nd: 0.259 0.750 0.560
Nd: 0.741 0.250 0.440
Nd: 0.759 0.750 0.940
Ni: 0.052 0.750 0.111
Ni: 0.066 0.000 0.314
Ni: 0.066 0.500 0.314
Ni: 0.089 0.250 0.518
Ni: 0.187 0.250 0.745
Ni: 0.313 0.750 0.245
Ni: 0.411 0.750 0.018
Ni: 0.434 0.000 0.814
Ni: 0.434 0.500 0.814
Ni: 0.448 0.250 0.611
Ni: 0.552 0.750 0.389
Ni: 0.566 0.000 0.186
Ni: 0.566 0.500 0.186
Ni: 0.589 0.250 0.982
Ni: 0.687 0.250 0.755
Ni: 0.813 0.750 0.255
Ni: 0.911 0.750 0.482
Ni: 0.934 0.000 0.686
Ni: 0.934 0.500 0.686
Ni: 0.948 0.250 0.889
Au: 0.140 0.750 0.862
Au: 0.360 0.250 0.362
Au: 0.640 0.750 0.638
Au: 0.860 0.250 0.138



Density functional theory data (GGA-PBE) for crystalline Nd5Ni2Au2 at its relaxed geometry.

Cell lengths 8.812, 8.812, 7.794 Å; angles 90.00, 90.00, 49.80 degrees
Atoms (fractional coordinates):
Nd: 0.000 0.000 0.000
Nd: 0.039 0.700 0.676
Nd: 0.200 0.539 0.176
Nd: 0.300 0.961 0.676
Nd: 0.461 0.800 0.176
Nd: 0.500 0.500 0.500
Nd: 0.539 0.200 0.824
Nd: 0.700 0.039 0.324
Nd: 0.800 0.461 0.824
Nd: 0.961 0.300 0.324
Ni: 0.117 0.883 0.383
Ni: 0.383 0.617 0.883
Ni: 0.617 0.383 0.117
Ni: 0.883 0.117 0.617
Au: 0.211 0.211 0.000
Au: 0.289 0.289 0.500
Au: 0.711 0.711 0.500
Au: 0.789 0.789 0.000



Density functional theory data (GGA-PBE) for crystalline Nd3Ni2Au4 at its relaxed geometry.

Cell lengths 5.975, 5.975, 9.297 Å; angles 113.31, 113.31, 41.40 degrees
Atoms (fractional coordinates):
Nd: 0.000 0.000 0.000
Nd: 0.317 0.317 0.363
Nd: 0.683 0.683 0.637
Ni: 0.396 0.396 0.735
Ni: 0.604 0.604 0.265
Au: 0.028 0.028 0.361
Au: 0.268 0.268 0.910
Au: 0.732 0.732 0.090
Au: 0.972 0.972 0.639



Density functional theory data (GGA-PBE) for crystalline NdNiAu at its relaxed geometry.

Cell lengths 5.288, 5.288, 5.288 Å; angles 139.49, 139.49, 58.63 degrees
Atoms (fractional coordinates):
Nd: 0.000 0.000 0.000
Ni: 0.666 0.666 0.000
Au: 0.319 0.319 0.000



Density functional theory data (GGA-PBE) for crystalline NdNiAu at its relaxed geometry.

Cell lengths 4.424, 4.424, 8.133 Å; angles 105.58, 105.58, 59.90 degrees
Atoms (fractional coordinates):
Nd: 0.241 0.241 0.224
Nd: 0.759 0.759 0.776
Ni: 0.357 0.357 0.572
Ni: 0.643 0.643 0.428
Au: 0.000 0.000 0.500
Au: 0.500 0.500 0.000



Density functional theory data (GGA-PBE) for crystalline Nd3Ni8Au at its relaxed geometry.

Cell lengths 8.874, 8.874, 8.874 Å; angles 33.28, 33.28, 33.28 degrees
Atoms (fractional coordinates):
Nd: 0.000 0.000 0.000
Nd: 0.129 0.129 0.129
Nd: 0.614 0.614 0.614
Ni: 0.058 0.058 0.563
Ni: 0.058 0.563 0.058
Ni: 0.064 0.560 0.560
Ni: 0.310 0.310 0.310
Ni: 0.560 0.064 0.560
Ni: 0.560 0.560 0.064
Ni: 0.563 0.058 0.058
Ni: 0.811 0.811 0.811
Au: 0.494 0.494 0.494



Density functional theory data (GGA-PBE) for crystalline Nd3NiAu at its relaxed geometry.

Cell lengths 8.307, 8.307, 8.302 Å; angles 92.61, 92.61, 27.91 degrees
Atoms (fractional coordinates):
Nd: 0.000 0.000 0.000
Nd: 0.156 0.156 0.356
Nd: 0.362 0.362 0.250
Nd: 0.518 0.518 0.605
Nd: 0.706 0.706 0.002
Nd: 0.812 0.812 0.604
Ni: 0.544 0.544 0.240
Ni: 0.975 0.975 0.365
Au: 0.162 0.162 0.733
Au: 0.356 0.356 0.873



Density functional theory data (GGA-PBE) for crystalline Nd7Ni2Au2 at its relaxed geometry.

Cell lengths 6.924, 6.924, 7.074 Å; angles 90.00, 90.00, 111.23 degrees
Atoms (fractional coordinates):
Nd: 0.000 0.000 0.000
Nd: 0.000 0.500 0.256
Nd: 0.000 0.500 0.744
Nd: 0.500 0.000 0.256
Nd: 0.500 0.000 0.744
Nd: 0.500 0.500 0.247
Nd: 0.500 0.500 0.753
Ni: 0.301 0.699 0.000
Ni: 0.699 0.301 0.000
Au: 0.180 0.180 0.500
Au: 0.820 0.820 0.500



| no. | ΔH_f (0 K) (meV/atom) |
| --- | --- |
| 1 | -237 |
| 2 | -452 |
| 3 | -600 |
| 4 | -366 |
| 5 | -502 |
| 6 | -329 |
| 7 | -452 |
| 8 | -251 |